(1)
Entry from Alexandria via LeMat-Bulk: a relaxed structure of YAs2Pb (PBE).

abc: 5.462 5.462 6.018
angles: 70.03 70.03 38.32
Positions (direct):
1 Pb 0.750 0.750 0.750
2 As 0.499 0.499 0.410
3 As 0.001 0.001 0.090
4 Y 0.250 0.250 0.250

Magnetic moment, μB/cell: 0.00
Energy of formation, meV per atom: -396
DOS(E_F), states/eV/atom: 0.35
Electronic total energy, eV/atom: -5.264
Space-group type: C2/m (12)

(2)
Entry from Alexandria via LeMat-Bulk: a relaxed structure of Ho4Ge2Ir (PBE).

abc: 4.344 7.252 7.127
angles: 119.68 107.74 90.00
Positions (direct):
1 Ge 0.767 0.767 0.535
2 Ge 0.233 0.233 0.465
3 Ir 0.000 0.000 0.000
4 Ho 0.130 0.780 0.260
5 Ho 0.870 0.220 0.740
6 Ho 0.612 0.297 0.224
7 Ho 0.388 0.703 0.776

Magnetic moment, μB/cell: 0.00
Energy of formation, meV per atom: -643
DOS(E_F), states/eV/atom: 0.76
Electronic total energy, eV/atom: -5.844
Space-group type: C2/m (12)

(3)
Entry from Alexandria via LeMat-Bulk: a relaxed structure of TbNp2ScS4 (PBE).

abc: 3.868 6.735 6.645
angles: 109.58 90.00 90.00
Site moments in Bohr magnetons follow the coordinates.
Positions (direct):
1 Np 0.500 0.000 0.500  -3.76
2 Np 0.000 0.500 0.500  3.88
3 S 0.000 0.758 0.245  0.03
4 S 0.000 0.242 0.755  0.03
5 S 0.500 0.239 0.239  -0.02
6 S 0.500 0.761 0.761  -0.02
7 Tb 0.500 0.500 0.000  0.05
8 Sc 0.000 0.000 0.000  -0.08

Magnetic moment, μB/cell: 0.10
Uncorrected formation energy, eV/f.u.: -13.0
DOS(E_F), states/eV/atom: 2.27
Electronic total energy, eV/atom: -8.299
Space-group type: P2/m (10)

(4)
Entry from Alexandria via LeMat-Bulk: a relaxed structure of Pu3NiBi (PBE).

abc: 5.194 5.194 5.194
angles: 90.00 90.00 90.00
Site moments in Bohr magnetons follow the coordinates.
Positions (direct):
1 Pu 0.000 0.500 0.000  5.47
2 Pu 0.000 0.000 0.500  5.47
3 Pu 0.500 0.000 0.000  5.47
4 Ni 0.000 0.000 0.000  -0.10
5 Bi 0.500 0.500 0.500  -0.18

Magnetic moment, μB/cell: 17.31
Energy of formation, meV per atom: 12
DOS(E_F), states/eV/atom: 6.32
Electronic total energy, eV/atom: -10.520
Space-group type: Pm-3m (221)

(5)
Entry from Alexandria via LeMat-Bulk: a relaxed structure of Si3IrS (PBE).

abc: 4.329 4.329 4.329
angles: 90.00 90.00 90.00
Positions (direct):
1 Si 0.000 0.500 0.000
2 Si 0.000 0.000 0.500
3 Si 0.500 0.000 0.000
4 Ir 0.500 0.500 0.500
5 S 0.000 0.000 0.000

Magnetic moment, μB/cell: 0.00
Uncorrected formation energy, eV/f.u.: 4.9
Distance to the lowest polymorph of the same formula, meV per atom: 697
DOS(E_F), states/eV/atom: 0.48
Electronic total energy, eV/atom: -4.874
Space-group type: Pm-3m (221)

(6)
Entry from Alexandria via LeMat-Bulk: a relaxed structure of MgTi2RuI (PBE).

abc: 4.937 4.854 4.937
angles: 90.00 90.00 90.00
Positions (direct):
1 Ru 0.000 0.500 0.000
2 Mg 0.500 0.500 0.500
3 I 0.000 0.000 0.000
4 Ti 0.000 0.000 0.500
5 Ti 0.500 0.000 0.000

Magnetic moment, μB/cell: 0.00
Uncorrected formation energy, eV/f.u.: 5.0
DOS(E_F), states/eV/atom: 1.28
Electronic total energy, eV/atom: -4.647
Space-group type: P4/mmm (123)